<1>
Material: Tb2PrPb
Method: DFT, PBE
State: optimized geometry

a b c (Å): 3.643 3.643 9.509
angles (deg): 90.00 90.00 90.00
Fractional positions:
1 Tb 0.000 0.000 0.229
2 Tb 0.000 0.000 0.771
3 Pr 0.500 0.500 0.500
4 Pb 0.500 0.500 0.000

<2>
Material: Tb2PrPb
Method: DFT, PBE
State: optimized geometry

a b c (Å): 4.745 4.771 11.693
angles (deg): 90.00 101.64 90.00
Fractional positions:
1 Tb 0.058 0.250 0.115
2 Tb 0.438 0.250 0.876
3 Tb 0.562 0.750 0.124
4 Tb 0.942 0.750 0.885
5 Pr 0.191 0.750 0.385
6 Pr 0.809 0.250 0.615
7 Pb 0.338 0.750 0.672
8 Pb 0.662 0.250 0.328

<3>
Material: Tb2PrPb
Method: DFT, PBE
State: optimized geometry

a b c (Å): 6.688 6.688 9.650
angles (deg): 90.00 90.00 142.48
Fractional positions:
1 Tb 0.137 0.863 0.546
2 Tb 0.137 0.863 0.954
3 Tb 0.863 0.137 0.046
4 Tb 0.863 0.137 0.454
5 Pr 0.445 0.555 0.750
6 Pr 0.555 0.445 0.250
7 Pb 0.258 0.742 0.250
8 Pb 0.742 0.258 0.750

<4>
Material: Tb2PrPb
Method: DFT, PBE
State: optimized geometry

a b c (Å): 12.357 12.357 12.357
angles (deg): 16.65 16.65 16.65
Fractional positions:
1 Tb 0.087 0.087 0.087
2 Tb 0.913 0.913 0.913
3 Pr 0.500 0.500 0.500
4 Pb 0.000 0.000 0.000

Which one sits at the top of the stability order? <2> does.

<1>
Material: Tb2PrPb
Method: DFT, PBE
State: optimized geometry

a b c (Å): 4.946 4.946 4.899
angles (deg): 90.00 90.00 90.00
Fractional positions:
1 Tb 0.000 0.500 0.000
2 Tb 0.500 0.000 0.000
3 Pr 0.000 0.000 0.500
4 Pb 0.500 0.500 0.500

<2>
Material: Tb2PrPb
Method: DFT, PBE
State: optimized geometry

a b c (Å): 11.363 11.363 11.363
angles (deg): 18.41 18.41 18.41
Fractional positions:
1 Tb 0.000 0.000 0.000
2 Tb 0.177 0.177 0.177
3 Pr 0.422 0.422 0.422
4 Pb 0.588 0.588 0.588

Which one sits at the top of the stability order? <1> does.

<1>
Material: TbPr2Pb
Method: DFT, PBE
State: optimized geometry

a b c (Å): 13.773 13.773 5.784
angles (deg): 90.00 90.00 165.37
Fractional positions:
1 Tb 0.028 0.972 0.750
2 Tb 0.972 0.028 0.250
3 Pr 0.093 0.907 0.250
4 Pr 0.185 0.815 0.750
5 Pr 0.815 0.185 0.250
6 Pr 0.907 0.093 0.750
7 Pb 0.303 0.697 0.750
8 Pb 0.697 0.303 0.250

<2>
Material: TbPr2Pb
Method: DFT, PBE
State: optimized geometry

a b c (Å): 5.635 5.635 5.635
angles (deg): 60.00 60.00 60.00
Fractional positions:
1 Tb 0.000 0.000 0.000
2 Pr 0.250 0.250 0.250
3 Pr 0.750 0.750 0.750
4 Pb 0.500 0.500 0.500

<3>
Material: TbPr2Pb
Method: DFT, PBE
State: optimized geometry

a b c (Å): 11.561 11.561 11.561
angles (deg): 18.35 18.35 18.35
Fractional positions:
1 Tb 0.000 0.000 0.000
2 Pr 0.248 0.248 0.248
3 Pr 0.419 0.419 0.419
4 Pb 0.834 0.834 0.834

Which one sits at the top of the stability order? <2> does.

<1>
Material: TbPr2Pb
Method: DFT, PBE
State: optimized geometry

a b c (Å): 12.579 12.579 12.579
angles (deg): 16.56 16.56 16.56
Fractional positions:
1 Tb 0.000 0.000 0.000
2 Pr 0.412 0.412 0.412
3 Pr 0.588 0.588 0.588
4 Pb 0.500 0.500 0.500

<2>
Material: TbPr2Pb
Method: DFT, PBE
State: optimized geometry

a b c (Å): 4.952 4.952 5.048
angles (deg): 90.00 90.00 90.00
Fractional positions:
1 Tb 0.000 0.000 0.000
2 Pr 0.000 0.500 0.500
3 Pr 0.500 0.000 0.500
4 Pb 0.500 0.500 0.000

Which one sits at the top of the stability order? <2> does.

<1>
Material: TbPr5Pb6
Method: DFT, PBE
State: optimized geometry

a b c (Å): 5.080 9.258 8.126
angles (deg): 90.00 107.67 90.00
Fractional positions:
1 Tb 0.000 0.000 0.000
2 Pr 0.000 0.500 0.000
3 Pr 0.333 0.500 0.667
4 Pr 0.335 0.000 0.670
5 Pr 0.665 0.000 0.330
6 Pr 0.667 0.500 0.333
7 Pb 0.165 0.248 0.330
8 Pb 0.165 0.752 0.330
9 Pb 0.500 0.248 0.000
10 Pb 0.500 0.752 0.000
11 Pb 0.835 0.248 0.670
12 Pb 0.835 0.752 0.670

<2>
Material: TbPr5Pb6
Method: DFT, PBE
State: optimized geometry

a b c (Å): 7.911 7.911 7.929
angles (deg): 99.47 99.47 119.01
Fractional positions:
1 Tb 0.000 0.000 0.000
2 Pr 0.170 0.830 0.500
3 Pr 0.334 0.666 0.000
4 Pr 0.500 0.500 0.500
5 Pr 0.666 0.334 0.000
6 Pr 0.830 0.170 0.500
7 Pb 0.082 0.409 0.245
8 Pb 0.244 0.244 0.750
9 Pb 0.409 0.082 0.245
10 Pb 0.591 0.918 0.755
11 Pb 0.756 0.756 0.250
12 Pb 0.918 0.591 0.755

Which one sits at the top of the stability order? <1> does.

<1>
Material: Tb2Pr8Pb
Method: DFT, PBE
State: optimized geometry

a b c (Å): 10.104 10.104 10.104
angles (deg): 147.46 134.70 56.88
Fractional positions:
1 Tb 0.193 0.193 0.000
2 Tb 0.807 0.807 0.000
3 Pr 0.086 0.362 0.724
4 Pr 0.237 0.000 0.237
5 Pr 0.323 0.823 0.500
6 Pr 0.363 0.638 0.724
7 Pr 0.637 0.362 0.276
8 Pr 0.677 0.177 0.500
9 Pr 0.763 0.000 0.763
10 Pr 0.914 0.638 0.276
11 Pb 0.500 0.500 0.000

<2>
Material: Tb2Pr8Pb
Method: DFT, PBE
State: optimized geometry

a b c (Å): 9.678 9.678 8.225
angles (deg): 104.99 104.99 30.41
Fractional positions:
1 Tb 0.225 0.225 0.132
2 Tb 0.775 0.775 0.868
3 Pr 0.044 0.044 0.231
4 Pr 0.138 0.138 0.681
5 Pr 0.322 0.322 0.592
6 Pr 0.409 0.409 0.057
7 Pr 0.591 0.591 0.943
8 Pr 0.678 0.678 0.408
9 Pr 0.862 0.862 0.319
10 Pr 0.956 0.956 0.769
11 Pb 0.500 0.500 0.500

Which one sits at the top of the stability order? <2> does.